Entry 1:
A relaxed NaCdPd2O4 crystal, computed with PBE.

Summary:
The volume is 11.91 A^3/atom. Its magnetization is 0.0 Bohr magnetons per cell. The space-group type is I4/mmm. The uncorrected energy is -37.0 eV per cell. The calculation puts the theoretical density at 7.19 g/cm³. The uncorrected formation energy comes out at -0.5632 eV per atom. As for the density of states at the Fermi level: 0.493 states/eV per atom.

Lattice parameters (Å, degrees): 4.581 4.581 5.577 114.24 114.24 90.02
Element x y z (fractional)
Cd 0.937 0.937 0.000
O 0.937 0.437 0.000
O 0.686 0.686 0.498
O 0.437 0.937 0.000
O 0.188 0.188 0.502
Pd 0.187 0.687 0.500
Pd 0.687 0.187 0.500
Na 0.437 0.437 0.000

***

Entry 2:
A relaxed CaTb2Sm6Dy3 crystal, computed with PBE.

Summary:
The volume is 33.18 A^3/atom. Its magnetization is 0.0 Bohr magnetons per cell. The space-group type is C2/m. The uncorrected energy is -52.9 eV per cell. For the formation enthalpy at 0 K, the calculation gives 0.037 eV/atom. The calculation puts the theoretical density at 7.29 g/cm³. As for the density of states at the Fermi level: 1.218 states/eV per atom.

Lattice parameters (Å, degrees): 6.263 6.263 11.898 94.99 94.99 119.97
Element x y z (fractional)
Tb 0.333 0.667 0.000
Tb 0.667 0.333 0.000
Sm 0.254 0.254 0.746
Sm 0.085 0.425 0.253
Sm 0.575 0.915 0.747
Sm 0.915 0.575 0.747
Sm 0.425 0.085 0.253
Sm 0.746 0.746 0.254
Dy 0.834 0.166 0.500
Dy 0.500 0.500 0.500
Dy 0.166 0.834 0.500
Ca 0.000 0.000 0.000

***

Entry 3:
A relaxed BiPd2Br crystal, computed with PBE.

Summary:
The volume is 20.53 A^3/atom. Its magnetization is 0.0 Bohr magnetons per cell. The space-group type is Fm-3m. The uncorrected energy is -15.9 eV per cell. The calculation puts the theoretical density at 10.14 g/cm³. The uncorrected formation energy comes out at 0.0028 eV per atom. As for the density of states at the Fermi level: 0.300 states/eV per atom. For the energy above the most stable polymorph in this dataset, the calculation gives 0 meV/atom.

Lattice parameters (Å, degrees): 4.879 4.879 4.879 60.00 60.00 60.00
Element x y z (fractional)
Pd 0.250 0.250 0.250
Pd 0.750 0.750 0.750
Bi 0.500 0.500 0.500
Br 0.000 0.000 0.000

***

Entry 4:
A relaxed TaTi4Mo crystal, computed with PBE.

Summary:
The volume is 16.92 A^3/atom. Its magnetization is 0.0 Bohr magnetons per cell. The space-group type is C2/m. The uncorrected energy is -54.5 eV per cell. For the formation enthalpy at 0 K, the calculation gives -0.038 eV/atom. The calculation puts the theoretical density at 7.66 g/cm³. As for the density of states at the Fermi level: 1.395 states/eV per atom.

Lattice parameters (Å, degrees): 4.552 5.343 5.397 63.07 65.06 64.79
Element x y z (fractional)
Ti 0.345 0.998 0.312
Ti 0.691 0.455 0.163
Ti 0.655 0.002 0.688
Ti 0.309 0.545 0.837
Ta 0.000 0.500 0.500
Mo 0.000 0.000 0.000

***

Entry 5:
A relaxed Sm3Ho5Tm4 crystal, computed with PBE.

Summary:
The volume is 32.00 A^3/atom. Its magnetization is 0.3 Bohr magnetons per cell. The space-group type is C2/m. The uncorrected energy is -52.0 eV per cell. For the formation enthalpy at 0 K, the calculation gives 0.248 eV/atom. The calculation puts the theoretical density at 8.44 g/cm³. As for the density of states at the Fermi level: 1.607 states/eV per atom. For the energy above the most stable polymorph in this dataset, the calculation gives 227 meV/atom.

Lattice parameters (Å, degrees): 5.851 8.468 9.586 105.98 72.23 69.79
Element x y z (fractional)
Ho 0.377 0.049 0.197
Ho 0.500 0.500 0.500
Ho 0.623 0.951 0.803
Ho 0.215 0.458 0.112
Ho 0.785 0.542 0.888
Sm 0.521 0.686 0.271
Sm 0.000 0.500 0.500
Sm 0.479 0.314 0.729
Tm 0.859 0.221 0.060
Tm 0.141 0.779 0.940
Tm 0.166 0.044 0.624
Tm 0.834 0.956 0.376

***

Entry 6:
A relaxed TlAuBr2 crystal, computed with PBE.

Summary:
The volume is 38.83 A^3/atom. Its magnetization is 0.0 Bohr magnetons per cell. The space-group type is C2/m. The uncorrected energy is -21.8 eV per cell. The calculation puts the theoretical density at 6.00 g/cm³. The uncorrected formation energy comes out at -0.4816 eV per atom. As for the density of states at the Fermi level: 0.000 states/eV per atom. For the energy above the most stable polymorph in this dataset, the calculation gives 0 meV/atom.

Lattice parameters (Å, degrees): 5.823 6.383 9.764 75.89 90.00 117.14
Element x y z (fractional)
Au 0.000 0.000 0.000
Au 0.500 0.000 0.500
Tl 0.250 0.500 0.750
Tl 0.750 0.500 0.250
Br 0.639 0.278 0.650
Br 0.862 0.723 0.849
Br 0.361 0.722 0.350
Br 0.138 0.277 0.151

***

Entry 7:
A relaxed Ni6Sn2P crystal, computed with PBE.

Summary:
The volume is 14.60 A^3/atom. Its magnetization is 0.0 Bohr magnetons per cell. The space-group type is Immm. The uncorrected energy is -49.9 eV per cell. For the formation enthalpy at 0 K, the calculation gives -0.205 eV/atom. The calculation puts the theoretical density at 7.84 g/cm³. As for the density of states at the Fermi level: 0.531 states/eV per atom.

Lattice parameters (Å, degrees): 3.543 6.669 6.722 119.74 105.27 90.00
Element x y z (fractional)
Ni 0.837 0.047 0.675
Ni 0.837 0.629 0.675
Ni 0.163 0.371 0.325
Ni 0.163 0.953 0.325
Ni 0.500 0.806 0.000
Ni 0.500 0.194 0.000
Sn 0.355 0.355 0.711
Sn 0.645 0.645 0.289
P 0.000 0.000 0.000

***

Entry 8:
A relaxed Cs3LaNp2Se6 crystal, computed with PBE.

Summary:
The volume is 34.99 A^3/atom. Its magnetization is 8.0 Bohr magnetons per cell. The space-group type is C2/m. The uncorrected energy is -71.2 eV per cell. The calculation puts the theoretical density at 5.87 g/cm³. The uncorrected formation energy comes out at -1.4120 eV per atom. As for the density of states at the Fermi level: 1.661 states/eV per atom.

Lattice parameters (Å, degrees): 7.609 7.609 8.750 98.33 98.33 120.00
Element x y z (fractional)
Cs 0.500 0.500 0.500
Cs 0.835 0.165 0.500
Cs 0.165 0.835 0.500
Se 0.595 0.937 0.812
Se 0.937 0.595 0.812
Se 0.405 0.063 0.188
Se 0.063 0.405 0.188
Se 0.719 0.719 0.187
Se 0.281 0.281 0.813
Np 0.667 0.333 0.000
Np 0.333 0.667 0.000
La 0.000 0.000 0.000

***

Entry 9:
A relaxed Cs4SnPb5 crystal, computed with PBE.

Summary:
The volume is 49.25 A^3/atom. Its magnetization is 0.7 Bohr magnetons per cell. The space-group type is I4mm. The uncorrected energy is -27.0 eV per cell. For the formation enthalpy at 0 K, the calculation gives -0.108 eV/atom. The calculation puts the theoretical density at 5.69 g/cm³. As for the density of states at the Fermi level: 1.049 states/eV per atom.

Lattice parameters (Å, degrees): 7.341 8.975 8.975 80.37 65.86 65.86
Element x y z (fractional)
Pb 0.107 0.000 0.694
Pb 0.801 0.306 0.000
Pb 0.801 0.000 0.306
Pb 0.686 0.000 0.000
Pb 0.107 0.694 0.000
Cs 0.447 0.705 0.295
Cs 0.742 0.705 0.705
Cs 0.152 0.295 0.295
Cs 0.447 0.295 0.705
Sn 0.201 0.000 0.000

***

Entry 10:
A relaxed Tl2VBPt crystal, computed with PBE.

Summary:
The volume is 21.76 A^3/atom. Its magnetization is 0.0 Bohr magnetons per cell. The space-group type is P4/mmm. The uncorrected energy is -20.7 eV per cell. For the formation enthalpy at 0 K, the calculation gives 1.167 eV/atom. The calculation puts the theoretical density at 10.16 g/cm³. As for the density of states at the Fermi level: 0.990 states/eV per atom.

Lattice parameters (Å, degrees): 5.287 3.892 5.287 90.00 90.00 90.00
Element x y z (fractional)
Pt 0.500 0.500 0.500
Tl 0.500 0.000 0.000
Tl 0.000 0.000 0.500
V 0.000 0.000 0.000
B 0.000 0.500 0.000

***

Entry 11:
A relaxed Tb2ThZr crystal, computed with PBE.

Summary:
The volume is 29.42 A^3/atom. Its magnetization is 0.0 Bohr magnetons per cell. The space-group type is P4/mmm. The uncorrected energy is -24.4 eV per cell. For the formation enthalpy at 0 K, the calculation gives 0.207 eV/atom. The calculation puts the theoretical density at 9.05 g/cm³. As for the density of states at the Fermi level: 1.889 states/eV per atom. For the energy above the most stable polymorph in this dataset, the calculation gives 131 meV/atom.

Lattice parameters (Å, degrees): 4.061 4.061 7.134 90.00 90.00 90.00
Element x y z (fractional)
Zr 0.500 0.500 0.000
Th 0.500 0.500 0.500
Tb 0.000 0.000 0.227
Tb 0.000 0.000 0.773

***

Entry 12:
A relaxed Re2TeRh crystal, computed with PBE.

Summary:
The volume is 16.63 A^3/atom. Its magnetization is 0.0 Bohr magnetons per cell. The space-group type is Pmmm. The uncorrected energy is -32.8 eV per cell. The calculation puts the theoretical density at 15.05 g/cm³. The uncorrected formation energy comes out at 0.6411 eV per atom. As for the density of states at the Fermi level: 1.148 states/eV per atom.

Lattice parameters (Å, degrees): 3.055 4.491 4.850 90.00 90.00 90.00
Element x y z (fractional)
Re 0.000 0.000 0.000
Re 0.500 0.500 0.000
Rh 0.500 0.000 0.500
Te 0.000 0.500 0.500